--- w ---
## RhCSe2Br (PBE-GGA)

Data for a relaxed structure of RhCSe2Br.

The structure in CIF format:
```
data_RhCSe2Br
_symmetry_space_group_name_H-M 'P 4/m m m'
_symmetry_Int_Tables_number 123
_symmetry_space_group_name_Hall '-P 4 2'
_cell_length_a 4.838
_cell_length_b 4.838
_cell_length_c 5.157
_cell_angle_alpha 90.00
_cell_angle_beta 90.00
_cell_angle_gamma 90.00
loop_
_atom_site_label
_atom_site_fract_x
_atom_site_fract_y
_atom_site_fract_z
Rh1 0.000 0.000 0.000
C1 0.500 0.500 0.500
Se1 0.000 0.500 0.000
Br1 0.000 0.000 0.500
```

Calculated values
N(E_F) in states/eV/cell: 6.73
Calculated volume in Å³/atom: 24.14

---

--- x ---
## RhCSe2Br (PBE-GGA)

Data for a relaxed structure of RhCSe2Br.

The structure in CIF format:
```
data_RhCSe2Br
_symmetry_space_group_name_H-M 'P 4/m m m'
_symmetry_Int_Tables_number 123
_symmetry_space_group_name_Hall '-P 4 2'
_cell_length_a 4.356
_cell_length_b 4.356
_cell_length_c 4.538
_cell_angle_alpha 90.00
_cell_angle_beta 90.00
_cell_angle_gamma 90.00
loop_
_atom_site_label
_atom_site_fract_x
_atom_site_fract_y
_atom_site_fract_z
Rh1 0.000 0.000 0.000
C1 0.500 0.500 0.500
Se1 0.000 0.500 0.500
Br1 0.500 0.500 0.000
```

Calculated values
N(E_F) in states/eV/cell: 5.76
Calculated volume in Å³/atom: 17.22

---

Order of stability, best first: x, w

---

--- w ---
## RuC3Br (PBE-GGA)

Data for a relaxed structure of RuC3Br.

The structure in CIF format:
```
data_RuC3Br
_symmetry_space_group_name_H-M 'P m -3 m'
_symmetry_Int_Tables_number 221
_symmetry_space_group_name_Hall '-P 4 2 3'
_cell_length_a 4.056
_cell_length_b 4.056
_cell_length_c 4.056
_cell_angle_alpha 90.00
_cell_angle_beta 90.00
_cell_angle_gamma 90.00
loop_
_atom_site_label
_atom_site_fract_x
_atom_site_fract_y
_atom_site_fract_z
Ru1 0.000 0.000 0.000
C1 0.000 0.000 0.500
Br1 0.500 0.500 0.500
```

Calculated values
N(E_F) in states/eV/cell: 2.80
Calculated volume in Å³/atom: 13.35

---

--- x ---
## RuC3Br (PBE-GGA)

Data for a relaxed structure of RuC3Br.

The structure in CIF format:
```
data_RuC3Br
_symmetry_space_group_name_H-M 'P m -3 m'
_symmetry_Int_Tables_number 221
_symmetry_space_group_name_Hall '-P 4 2 3'
_cell_length_a 3.846
_cell_length_b 3.846
_cell_length_c 3.846
_cell_angle_alpha 90.00
_cell_angle_beta 90.00
_cell_angle_gamma 90.00
loop_
_atom_site_label
_atom_site_fract_x
_atom_site_fract_y
_atom_site_fract_z
Ru1 0.000 0.000 0.000
C1 0.000 0.500 0.500
Br1 0.500 0.500 0.500
```

Calculated values
N(E_F) in states/eV/cell: 5.01
Calculated volume in Å³/atom: 11.38

---

Order of stability, best first: w, x

---

--- w ---
## RuCBr2 (PBE-GGA)

Data for a relaxed structure of RuCBr2.

The structure in CIF format:
```
data_RuCBr2
_symmetry_space_group_name_H-M 'I -4 2 d'
_symmetry_Int_Tables_number 122
_symmetry_space_group_name_Hall 'I -4 2bw'
_cell_length_a 5.373
_cell_length_b 5.373
_cell_length_c 11.817
_cell_angle_alpha 90.00
_cell_angle_beta 90.00
_cell_angle_gamma 90.00
loop_
_atom_site_label
_atom_site_fract_x
_atom_site_fract_y
_atom_site_fract_z
Ru1 0.000 0.000 0.000
C1 0.000 0.000 0.500
Br1 0.239 0.250 0.625
```

Calculated values
N(E_F) in states/eV/cell: 10.91
Calculated volume in Å³/atom: 21.32

---

--- x ---
## RuCBr2 (PBE-GGA)

Data for a relaxed structure of RuCBr2.

The structure in CIF format:
```
data_RuCBr2
_symmetry_space_group_name_H-M 'F m -3 m'
_symmetry_Int_Tables_number 225
_symmetry_space_group_name_Hall '-F 4 2 3'
_cell_length_a 6.356
_cell_length_b 6.356
_cell_length_c 6.356
_cell_angle_alpha 90.00
_cell_angle_beta 90.00
_cell_angle_gamma 90.00
loop_
_atom_site_label
_atom_site_fract_x
_atom_site_fract_y
_atom_site_fract_z
Ru1 0.000 0.000 0.000
C1 0.000 0.000 0.500
Br1 0.250 0.250 0.250
```

Calculated values
N(E_F) in states/eV/cell: 12.09
Calculated volume in Å³/atom: 16.05

---

Order of stability, best first: w, x

---

--- w ---
## RuCBr2 (PBE-GGA)

Data for a relaxed structure of RuCBr2.

The structure in CIF format:
```
data_RuCBr2
_symmetry_space_group_name_H-M 'R -3 m'
_symmetry_Int_Tables_number 166
_symmetry_space_group_name_Hall '-R 3 2"'
_cell_length_a 3.8179
_cell_length_b 3.8179
_cell_length_c 22.1599
_cell_angle_alpha 90.00
_cell_angle_beta 90.00
_cell_angle_gamma 120.00
loop_
_atom_site_label
_atom_site_fract_x
_atom_site_fract_y
_atom_site_fract_z
Ru1 0.0000 0.0000 0.0000
C1 0.0000 0.0000 0.5000
Br1 0.0000 0.0000 0.3921
```

Calculated values
N(E_F) in states/eV/cell: 1.34
Calculated volume in Å³/atom: 23.31

---

--- x ---
## RuCBr2 (PBE-GGA)

Data for a relaxed structure of RuCBr2.

The structure in CIF format:
```
data_RuCBr2
_symmetry_space_group_name_H-M 'R -3 m'
_symmetry_Int_Tables_number 166
_symmetry_space_group_name_Hall '-R 3 2"'
_cell_length_a 3.2794
_cell_length_b 3.2794
_cell_length_c 23.4756
_cell_angle_alpha 90.00
_cell_angle_beta 90.00
_cell_angle_gamma 120.00
loop_
_atom_site_label
_atom_site_fract_x
_atom_site_fract_y
_atom_site_fract_z
Ru1 0.0000 0.0000 0.0000
C1 0.0000 0.0000 0.5000
Br1 0.0000 0.0000 0.1016
```

Calculated values
N(E_F) in states/eV/cell: 10.47
Calculated volume in Å³/atom: 18.22

---

Order of stability, best first: w, x

---

--- w ---
## RuCSe2Br (PBE-GGA)

Data for a relaxed structure of RuCSe2Br.

The structure in CIF format:
```
data_RuCSe2Br
_symmetry_space_group_name_H-M 'P 4/m m m'
_symmetry_Int_Tables_number 123
_symmetry_space_group_name_Hall '-P 4 2'
_cell_length_a 4.755
_cell_length_b 4.755
_cell_length_c 5.311
_cell_angle_alpha 90.00
_cell_angle_beta 90.00
_cell_angle_gamma 90.00
loop_
_atom_site_label
_atom_site_fract_x
_atom_site_fract_y
_atom_site_fract_z
Ru1 0.000 0.000 0.000
C1 0.500 0.500 0.500
Se1 0.000 0.500 0.000
Br1 0.000 0.000 0.500
```

Calculated values
N(E_F) in states/eV/cell: 5.67
Calculated volume in Å³/atom: 24.02

---

--- x ---
## RuCSe2Br (PBE-GGA)

Data for a relaxed structure of RuCSe2Br.

The structure in CIF format:
```
data_RuCSe2Br
_symmetry_space_group_name_H-M 'P 4/m m m'
_symmetry_Int_Tables_number 123
_symmetry_space_group_name_Hall '-P 4 2'
_cell_length_a 4.327
_cell_length_b 4.327
_cell_length_c 4.468
_cell_angle_alpha 90.00
_cell_angle_beta 90.00
_cell_angle_gamma 90.00
loop_
_atom_site_label
_atom_site_fract_x
_atom_site_fract_y
_atom_site_fract_z
Ru1 0.000 0.000 0.000
C1 0.500 0.500 0.500
Se1 0.000 0.500 0.500
Br1 0.500 0.500 0.000
```

Calculated values
N(E_F) in states/eV/cell: 4.98
Calculated volume in Å³/atom: 16.73

---

Order of stability, best first: x, w

---

--- w ---
## CSeSBr2 (PBE-GGA)

Data for a relaxed structure of CSeSBr2.

The structure in CIF format:
```
data_CSeSBr2
_symmetry_space_group_name_H-M 'P 4/m m m'
_symmetry_Int_Tables_number 123
_symmetry_space_group_name_Hall '-P 4 2'
_cell_length_a 4.610
_cell_length_b 4.610
_cell_length_c 4.521
_cell_angle_alpha 90.00
_cell_angle_beta 90.00
_cell_angle_gamma 90.00
loop_
_atom_site_label
_atom_site_fract_x
_atom_site_fract_y
_atom_site_fract_z
C1 0.000 0.000 0.000
Se1 0.000 0.000 0.500
S1 0.500 0.500 0.500
Br1 0.000 0.500 0.000
```

Calculated values
N(E_F) in states/eV/cell: 4.52
Calculated volume in Å³/atom: 19.21

---

--- x ---
## CSeSBr2 (PBE-GGA)

Data for a relaxed structure of CSeSBr2.

The structure in CIF format:
```
data_CSeSBr2
_symmetry_space_group_name_H-M 'P 4/m m m'
_symmetry_Int_Tables_number 123
_symmetry_space_group_name_Hall '-P 4 2'
_cell_length_a 4.972
_cell_length_b 4.972
_cell_length_c 5.132
_cell_angle_alpha 90.00
_cell_angle_beta 90.00
_cell_angle_gamma 90.00
loop_
_atom_site_label
_atom_site_fract_x
_atom_site_fract_y
_atom_site_fract_z
C1 0.000 0.000 0.000
Se1 0.500 0.500 0.000
S1 0.500 0.500 0.500
Br1 0.000 0.500 0.500
```

Calculated values
N(E_F) in states/eV/cell: 4.74
Calculated volume in Å³/atom: 25.37

---

Order of stability, best first: w, x

---

--- w ---
## TiCSBr (PBE-GGA)

Data for a relaxed structure of TiCSBr.

The structure in CIF format:
```
data_TiCSBr
_symmetry_space_group_name_H-M 'P 1'
_symmetry_Int_Tables_number 1
_cell_length_a 3.319
_cell_length_b 3.320
_cell_length_c 8.064
_cell_angle_alpha 90.48
_cell_angle_beta 99.70
_cell_angle_gamma 119.95
loop_
_symmetry_equiv_pos_as_xyz
'x,y,z'
loop_
_atom_site_label
_atom_site_fract_x
_atom_site_fract_y
_atom_site_fract_z
Ti1 0.000 0.000 0.000
C1 0.591 0.293 0.864
S1 0.442 0.725 0.194
Br1 0.460 0.222 0.629
```

Calculated values
N(E_F) in states/eV/cell: 4.08
Calculated volume in Å³/atom: 18.86

---

--- x ---
## TiCSBr (PBE-GGA)

Data for a relaxed structure of TiCSBr.

The structure in CIF format:
```
data_TiCSBr
_symmetry_space_group_name_H-M 'C 1 m 1'
_symmetry_Int_Tables_number 8
_cell_length_a 15.643
_cell_length_b 3.034
_cell_length_c 3.337
_cell_angle_alpha 90.00
_cell_angle_beta 97.19
_cell_angle_gamma 90.00
loop_
_symmetry_equiv_pos_as_xyz
'x,y,z'
'x,-y,z'
'x+1/2,y+1/2,z'
'x+1/2,-y+1/2,z'
loop_
_atom_site_label
_atom_site_fract_x
_atom_site_fract_y
_atom_site_fract_z
Ti1 0.000 0.000 0.000
C1 0.035 0.500 0.516
S1 0.127 0.500 0.299
Br1 0.366 0.000 0.925
```

Calculated values
N(E_F) in states/eV/cell: 4.10
Calculated volume in Å³/atom: 19.65

---

--- y ---
## TiCSBr (PBE-GGA)

Data for a relaxed structure of TiCSBr.

The structure in CIF format:
```
data_TiCSBr
_symmetry_space_group_name_H-M 'P 1 m 1'
_symmetry_Int_Tables_number 6
_cell_length_a 3.725
_cell_length_b 5.088
_cell_length_c 5.016
_cell_angle_alpha 90.00
_cell_angle_beta 111.39
_cell_angle_gamma 90.00
loop_
_symmetry_equiv_pos_as_xyz
'x,y,z'
'x,-y,z'
loop_
_atom_site_label
_atom_site_fract_x
_atom_site_fract_y
_atom_site_fract_z
Ti1 0.000 0.000 0.000
C1 0.578 0.000 0.184
S1 0.977 0.000 0.476
Br1 0.911 0.500 0.898
```

Calculated values
N(E_F) in states/eV/cell: 1.64
Calculated volume in Å³/atom: 22.13

---

--- z ---
## TiCSBr (PBE-GGA)

Data for a relaxed structure of TiCSBr.

The structure in CIF format:
```
data_TiCSBr
_symmetry_space_group_name_H-M 'P 1'
_symmetry_Int_Tables_number 1
_cell_length_a 3.401
_cell_length_b 3.618
_cell_length_c 7.976
_cell_angle_alpha 81.89
_cell_angle_beta 77.98
_cell_angle_gamma 62.19
loop_
_symmetry_equiv_pos_as_xyz
'x,y,z'
loop_
_atom_site_label
_atom_site_fract_x
_atom_site_fract_y
_atom_site_fract_z
Ti1 0.000 0.000 0.000
C1 0.344 0.405 0.911
S1 0.589 0.059 0.759
Br1 0.532 0.704 0.239
```

Calculated values
N(E_F) in states/eV/cell: 2.24
Calculated volume in Å³/atom: 21.20

---

Order of stability, best first: z, x, y, w

---

--- w ---
## SbC3Br (PBE-GGA)

Data for a relaxed structure of SbC3Br.

The structure in CIF format:
```
data_SbC3Br
_symmetry_space_group_name_H-M 'P m -3 m'
_symmetry_Int_Tables_number 221
_symmetry_space_group_name_Hall '-P 4 2 3'
_cell_length_a 4.374
_cell_length_b 4.374
_cell_length_c 4.374
_cell_angle_alpha 90.00
_cell_angle_beta 90.00
_cell_angle_gamma 90.00
loop_
_atom_site_label
_atom_site_fract_x
_atom_site_fract_y
_atom_site_fract_z
Sb1 0.000 0.000 0.000
C1 0.000 0.000 0.500
Br1 0.500 0.500 0.500
```

Calculated values
N(E_F) in states/eV/cell: 3.14
Calculated volume in Å³/atom: 16.74

---

--- x ---
## SbC3Br (PBE-GGA)

Data for a relaxed structure of SbC3Br.

The structure in CIF format:
```
data_SbC3Br
_symmetry_space_group_name_H-M 'P m -3 m'
_symmetry_Int_Tables_number 221
_symmetry_space_group_name_Hall '-P 4 2 3'
_cell_length_a 4.115
_cell_length_b 4.115
_cell_length_c 4.115
_cell_angle_alpha 90.00
_cell_angle_beta 90.00
_cell_angle_gamma 90.00
loop_
_atom_site_label
_atom_site_fract_x
_atom_site_fract_y
_atom_site_fract_z
Sb1 0.000 0.000 0.000
C1 0.000 0.500 0.500
Br1 0.500 0.500 0.500
```

Calculated values
N(E_F) in states/eV/cell: 3.79
Calculated volume in Å³/atom: 13.94

---

Order of stability, best first: w, x